(1)
# La2Ni2Pd

A relaxed La2Ni2Pd crystal (GGA-PBE, the Alexandria database).

a b c (Å): 3.6266 3.6266 8.5497
angles (deg): 77.76 77.76 90.00
Last column: nearest neighbours and their distance in Å.
Sites, in units of the cell vectors:
Pd: 0.0000 0.0000 0.0000  8 La 3.18
Ni: 0.2500 0.7500 0.5000  4 Ni 2.56, 4 La 2.85
Ni: 0.7500 0.2500 0.5000  4 Ni 2.56, 4 La 2.85
La: 0.3850 0.3850 0.2300  4 Ni 2.85, 4 Pd 3.18
La: 0.6150 0.6150 0.7700  4 Ni 2.85, 4 Pd 3.18

Calculated values
* DFT formation energy: -1.7 eV per formula unit
* space-group type: I4/mmm (139)

---

(2)
# La2NiPd3

A relaxed La2NiPd3 crystal (GGA-PBE, the Alexandria database).

a b c (Å): 4.4558 4.4558 15.5072
angles (deg): 90.00 90.00 120.00
Last column: nearest neighbours and their distance in Å.
Sites, in units of the cell vectors:
La: 0.0000 0.0000 0.3725  9 Pd 3.20-3.28, 3 Ni 3.20
Pd: 0.6667 0.3333 0.9962  3 Pd 2.58
Pd: 0.3333 0.6667 0.4962  3 Pd 2.58
La: 0.0000 0.0000 0.1275  3 Ni 3.20, 9 Pd 3.20-3.28
La: 0.0000 0.0000 0.6275  9 Pd 3.20-3.28, 3 Ni 3.20
Ni: 0.3333 0.6667 0.2500  3 Pd 2.57
Ni: 0.6667 0.3333 0.7500  3 Pd 2.57
Pd: 0.3333 0.6667 0.0038  3 Pd 2.58
Pd: 0.6667 0.3333 0.5038  3 Pd 2.58
La: 0.0000 0.0000 0.8725  3 Ni 3.20, 9 Pd 3.20-3.28
Pd: 0.6667 0.3333 0.2500  3 Ni 2.57
Pd: 0.3333 0.6667 0.7500  3 Ni 2.57

Calculated values
* DFT formation energy: -3.7 eV per formula unit
* space-group type: P6_3/mmc (194)

---

(3)
# La2NiSb4Pd3

A relaxed La2NiSb4Pd3 crystal (GGA-PBE, the Alexandria database).

a b c (Å): 4.6311 4.6311 10.6199
angles (deg): 90.00 90.00 90.00
Last column: nearest neighbours and their distance in Å.
Sites, in units of the cell vectors:
Pd: 0.5000 0.0000 0.8687  5 Sb 2.62-2.70
Pd: 0.0000 0.0000 0.5000  4 Sb 2.65
Ni: 0.5000 0.5000 0.5000  4 Sb 2.65
Sb: 0.5000 0.0000 0.6217  3 Pd 2.62-2.65, 2 Ni 2.65
Sb: 0.5000 0.5000 0.0000  4 Pd 2.70
Sb: 0.0000 0.0000 0.0000  4 Pd 2.70
La: 0.0000 0.5000 0.7349  2 Ni 3.40, 6 Pd 3.40-3.57, 9 Sb 3.49-3.79
Sb: 0.0000 0.5000 0.3783  3 Pd 2.62-2.65, 2 Ni 2.65
La: 0.5000 0.0000 0.2651  2 Ni 3.40, 6 Pd 3.40-3.57, 9 Sb 3.49-3.79
Pd: 0.0000 0.5000 0.1313  5 Sb 2.62-2.70

Calculated values
* space-group type: P-4m2 (115)
* raw total energy: -5.592 eV per atom

---

(4)
# La2NiSb3Pd4

A relaxed La2NiSb3Pd4 crystal (GGA-PBE, the Alexandria database).

a b c (Å): 4.5142 4.5142 10.7035
angles (deg): 90.00 90.00 90.00
Last column: nearest neighbours and their distance in Å.
Sites, in units of the cell vectors:
Pd: 0.5000 0.5000 0.0000  4 Sb 2.68
Sb: 0.5000 0.0000 0.8644  5 Pd 2.60-2.68
Pd: 0.0000 0.0000 0.0000  4 Sb 2.68
Sb: 0.0000 0.0000 0.5000  4 Pd 2.61
Sb: 0.0000 0.5000 0.1356  5 Pd 2.60-2.68
La: 0.5000 0.0000 0.2572  6 Sb 3.44-3.45, 2 Ni 3.44, 8 Pd 3.44-3.56
Ni: 0.5000 0.5000 0.5000  4 Pd 2.61
La: 0.0000 0.5000 0.7428  6 Sb 3.44-3.45, 2 Ni 3.44, 8 Pd 3.44-3.56
Pd: 0.0000 0.5000 0.3782  3 Sb 2.60-2.61, 2 Ni 2.61
Pd: 0.5000 0.0000 0.6218  3 Sb 2.60-2.61, 2 Ni 2.61

Calculated values
* space-group type: P-4m2 (115)
* raw total energy: -5.660 eV per atom

---

(5)
# La2Ni3Sb4Pd

A relaxed La2Ni3Sb4Pd crystal (GGA-PBE, the Alexandria database).

a b c (Å): 4.5790 4.5790 10.1088
angles (deg): 90.00 90.00 90.00
Last column: nearest neighbours and their distance in Å.
Sites, in units of the cell vectors:
Ni: 0.0000 0.5000 0.1167  5 Sb 2.52-2.58
Sb: 0.5000 0.5000 0.0000  4 Ni 2.58
Sb: 0.0000 0.0000 0.0000  4 Ni 2.58
Ni: 0.0000 0.0000 0.5000  4 Sb 2.66
La: 0.5000 0.0000 0.2553  7 Ni 3.37-3.76, 2 Pd 3.37, 8 Sb 3.43-3.45
Sb: 0.0000 0.5000 0.3661  3 Ni 2.52-2.66, 2 Pd 2.66
Ni: 0.5000 0.0000 0.8833  5 Sb 2.52-2.58
La: 0.0000 0.5000 0.7447  7 Ni 3.37-3.76, 2 Pd 3.37, 8 Sb 3.43-3.45
Sb: 0.5000 0.0000 0.6339  3 Ni 2.52-2.66, 2 Pd 2.66
Pd: 0.5000 0.5000 0.5000  4 Sb 2.66

Calculated values
* space-group type: P-4m2 (115)
* raw total energy: -5.644 eV per atom

---

(6)
# La2Ni4Sb3Pd

A relaxed La2Ni4Sb3Pd crystal (GGA-PBE, the Alexandria database).

a b c (Å): 4.3785 4.3785 10.2904
angles (deg): 90.00 90.00 90.00
Last column: nearest neighbours and their distance in Å.
Sites, in units of the cell vectors:
La: 0.5000 0.0000 0.2510  8 Ni 3.33-3.39, 6 Sb 3.34-3.37, 2 Pd 3.37
Ni: 0.0000 0.5000 0.3708  3 Sb 2.50-2.56, 2 Pd 2.56
Pd: 0.5000 0.5000 0.5000  4 Ni 2.56
Sb: 0.5000 0.0000 0.8717  5 Ni 2.50-2.56
Ni: 0.0000 0.0000 0.0000  4 Sb 2.56
Sb: 0.0000 0.5000 0.1283  5 Ni 2.50-2.56
Ni: 0.5000 0.5000 0.0000  4 Sb 2.56
La: 0.0000 0.5000 0.7490  8 Ni 3.33-3.39, 6 Sb 3.34-3.37, 2 Pd 3.37
Ni: 0.5000 0.0000 0.6292  3 Sb 2.50-2.56, 2 Pd 2.56
Sb: 0.0000 0.0000 0.5000  4 Ni 2.56

Calculated values
* space-group type: P-4m2 (115)
* raw total energy: -5.727 eV per atom

---

What did the fifth record say?
# La2Ni3Sb4Pd

A relaxed La2Ni3Sb4Pd crystal (GGA-PBE, the Alexandria database).

a b c (Å): 4.5790 4.5790 10.1088
angles (deg): 90.00 90.00 90.00
Last column: nearest neighbours and their distance in Å.
Sites, in units of the cell vectors:
Ni: 0.0000 0.5000 0.1167  5 Sb 2.52-2.58
Sb: 0.5000 0.5000 0.0000  4 Ni 2.58
Sb: 0.0000 0.0000 0.0000  4 Ni 2.58
Ni: 0.0000 0.0000 0.5000  4 Sb 2.66
La: 0.5000 0.0000 0.2553  7 Ni 3.37-3.76, 2 Pd 3.37, 8 Sb 3.43-3.45
Sb: 0.0000 0.5000 0.3661  3 Ni 2.52-2.66, 2 Pd 2.66
Ni: 0.5000 0.0000 0.8833  5 Sb 2.52-2.58
La: 0.0000 0.5000 0.7447  7 Ni 3.37-3.76, 2 Pd 3.37, 8 Sb 3.43-3.45
Sb: 0.5000 0.0000 0.6339  3 Ni 2.52-2.66, 2 Pd 2.66
Pd: 0.5000 0.5000 0.5000  4 Sb 2.66

Calculated values
* space-group type: P-4m2 (115)
* raw total energy: -5.644 eV per atom

---

Question: Number 4 is which compound?
Answer: La2NiSb3Pd4